# UAs2W | the Alexandria database | PBE | optimized geometry
data_UAs2W
_cell_length_a 3.0458
_cell_length_b 3.0458
_cell_length_c 29.3036
_cell_angle_alpha 90.00
_cell_angle_beta 90.00
_cell_angle_gamma 120.00
_space_group_name_H-M_alt 'R -3 m'
_space_group_IT_number 166
_space_group_name_Hall '-R 3 2"'
loop_
_atom_site_label
_atom_site_type_symbol
_atom_site_fract_x
_atom_site_fract_y
_atom_site_fract_z
_atom_site_occupancy
U1 U 0.0000 0.0000 0.0000 1
As1 As 0.0000 0.0000 0.1011 1
W1 W 0.0000 0.0000 0.5000 1
# Energy relative to the elements = 0.15 eV/atom
# DOS(E_F) = 20.5 states/eV per cell